Record 1
DFT (PBE-GGA) results for an optimized crystal structure of LiZr2BiH.

a b c (Å): 4.304 4.304 4.720
angles (deg): 90.00 90.00 90.00
Fractional positions:
H  0.000  0.000  0.000
Bi  0.500  0.500  0.500
Zr  0.000  0.500  0.000
Zr  0.500  0.000  0.000
Li  0.000  0.000  0.500

Summary:
E_tot (eV for the cell shown): -27.92
SG: P4/mmm (123)

Record 2
DFT (PBE-GGA) results for an optimized crystal structure of Pr4CuRh2.

a b c (Å): 7.800 7.805 7.798
angles (deg): 109.12 109.07 110.21
Fractional positions:
Pr  0.989  0.238  0.372
Pr  0.384  0.512  0.250
Pr  0.866  0.615  0.627
Pr  0.761  0.134  0.750
Pr  0.384  0.012  0.250
Pr  0.262  0.134  0.751
Pr  0.488  0.738  0.873
Pr  0.866  0.616  0.127
Cu  0.249  0.750  0.500
Cu  0.000  0.000  0.999
Rh  0.494  0.375  0.619
Rh  0.757  0.875  0.381
Rh  0.625  0.244  0.119
Rh  0.125  0.506  0.881

Summary:
Energy of formation from the pure elements (eV/atom): -0.43
Relative energy among the computed polymorphs (meV/atom): 9
SG: C2 (5)

Record 3
DFT (PBE-GGA) results for an optimized crystal structure of TaCu2Mo.

a b c (Å): 4.326 2.628 5.154
angles (deg): 82.07 90.00 90.00
Fractional positions:
Cu  0.000  0.144  0.999
Cu  0.500  0.108  0.254
Mo  0.000  0.503  0.473
Ta  0.500  0.745  0.774

Summary:
Energy of formation from the pure elements (eV/atom): 0.12
Relative energy among the computed polymorphs (meV/atom): 14
SG: Pm (6)

Record 4
DFT (PBE-GGA) results for an optimized crystal structure of HfZr2Tl2.

a b c (Å): 8.662 8.662 3.184
angles (deg): 90.00 90.00 90.00
Fractional positions:
Tl  0.175  0.675  0.500
Tl  0.675  0.825  0.500
Tl  0.825  0.325  0.500
Tl  0.325  0.175  0.500
Hf  0.000  0.000  0.000
Hf  0.500  0.500  0.000
Zr  0.376  0.876  0.000
Zr  0.876  0.624  0.000
Zr  0.624  0.124  0.000
Zr  0.124  0.376  0.000

Summary:
Energy of formation from the pure elements (eV/atom): 0.27
Relative energy among the computed polymorphs (meV/atom): 222
SG: P4/mbm (127)

no.,D(E_F) (states/eV per atom)
1,0.3199
2,0.7621
3,0.3980
4,1.1393